Material: LiEuIr
Method: DFT, PBE
State: relaxed

Calculated values
Size of the total moment ... 14.16 μB per cell
Crystal system ... tetragonal
E_form ... -0.0923 eV/atom
Uncorrected energy ... -7.109 eV/atom
E above lowest polymorph ... 0.129 eV per formula unit

abc: 3.415 3.415 9.967
angles: 90.00 90.00 90.00
Space group I4mm (No. 107)
Asymmetric unit:
Li  0.000  0.000  0.000 x2
Eu  0.000  0.000  0.283 x2
Ir  0.000  0.000  0.601 x2

---

Material: LiEu3Ir
Method: DFT, PBE
State: relaxed

Calculated values
Size of the total moment ... 20.94 μB per cell
Crystal system ... cubic
E_form ... -0.1668 eV/atom
Uncorrected energy ... -8.486 eV/atom

abc: 5.674 5.674 5.674
angles: 90.00 90.00 90.00
Space group Pm-3m (No. 221)
Asymmetric unit:
Li  0.000  0.000  0.000 x1
Eu  0.000  0.500  0.500 x3
Ir  0.500  0.500  0.500 x1

---

Material: LiEuIr
Method: DFT, PBE
State: relaxed

Calculated values
Size of the total moment ... 6.94 μB per cell
Crystal system ... hexagonal
E_form ... -0.1353 eV/atom
Uncorrected energy ... -7.152 eV/atom
E above lowest polymorph ... 0.000 eV per formula unit

abc: 4.4843 4.4843 3.3751
angles: 90.00 90.00 120.00
Space group P-6m2 (No. 187)
Asymmetric unit:
Li  0.0000  0.0000  0.0000 x1
Eu  0.3333  0.6667  0.5000 x1
Ir  0.6667  0.3333  0.0000 x1

---

Material: LiEuLuIr
Method: DFT, PBE
State: relaxed

Calculated values
Size of the total moment ... 28.10 μB per cell
Crystal system ... cubic
E_form ... -0.4111 eV/atom
Uncorrected energy ... -6.804 eV/atom

abc: 6.979 6.979 6.979
angles: 90.00 90.00 90.00
Space group F-43m (No. 216)
Asymmetric unit:
Li  0.000  0.000  0.000 x4
Eu  0.250  0.250  0.250 x4
Lu  0.250  0.250  0.750 x4
Ir  0.000  0.000  0.500 x4

---

Material: LiEuMgIr
Method: DFT, PBE
State: relaxed

Calculated values
Size of the total moment ... 28.03 μB per cell
Crystal system ... cubic
E_form ... -0.2334 eV/atom
Uncorrected energy ... -5.894 eV/atom

abc: 6.833 6.833 6.833
angles: 90.00 90.00 90.00
Space group F-43m (No. 216)
Asymmetric unit:
Li  0.000  0.000  0.000 x4
Eu  0.250  0.250  0.750 x4
Mg  0.250  0.250  0.250 x4
Ir  0.000  0.000  0.500 x4

---

Material: LiNdEuIr
Method: DFT, PBE
State: relaxed

Calculated values
Size of the total moment ... 28.46 μB per cell
Crystal system ... cubic
E_form ... -0.3342 eV/atom
Uncorrected energy ... -6.788 eV/atom

abc: 7.177 7.177 7.177
angles: 90.00 90.00 90.00
Space group F-43m (No. 216)
Asymmetric unit:
Li  0.000  0.000  0.000 x4
Nd  0.250  0.250  0.750 x4
Eu  0.250  0.250  0.250 x4
Ir  0.000  0.000  0.500 x4

---

Material: LiEu2IrO6
Method: DFT, PBE
State: relaxed

Calculated values
Size of the total moment ... 20.69 μB per cell
Crystal system ... monoclinic
Raw formation energy ... -2004 meV per atom
Uncorrected energy ... -8.112 eV/atom

abc: 5.460 5.813 9.417
angles: 90.00 124.86 90.00
Space group P2_1/c (No. 14)
Asymmetric unit:
Li  0.000  0.000  0.000 x2
Eu  0.233  0.070  0.749 x4
Ir  0.500  0.000  0.500 x2
O  0.157  0.184  0.453 x4
O  0.270  0.713  0.447 x4
O  0.352  0.031  0.256 x4

---

Material: LiEuIrPb
Method: DFT, PBE
State: relaxed

Calculated values
Size of the total moment ... 27.68 μB per cell
Crystal system ... cubic
E_form ... -0.2290 eV/atom
Uncorrected energy ... -6.418 eV/atom

abc: 6.940 6.940 6.940
angles: 90.00 90.00 90.00
Space group F-43m (No. 216)
Asymmetric unit:
Li  0.000  0.000  0.000 x4
Eu  0.250  0.250  0.250 x4
Ir  0.000  0.000  0.500 x4
Pb  0.250  0.250  0.750 x4

---

Material: LiPmEuIr
Method: DFT, PBE
State: relaxed

Calculated values
Size of the total moment ... 28.40 μB per cell
Crystal system ... cubic
E_form ... -0.3468 eV/atom
Uncorrected energy ... -6.797 eV/atom

abc: 7.149 7.149 7.149
angles: 90.00 90.00 90.00
Space group F-43m (No. 216)
Asymmetric unit:
Li  0.000  0.000  0.000 x4
Pm  0.250  0.250  0.250 x4
Eu  0.250  0.250  0.750 x4
Ir  0.000  0.000  0.500 x4

---

Material: LiPrEuIr
Method: DFT, PBE
State: relaxed

Calculated values
Size of the total moment ... 28.51 μB per cell
Crystal system ... cubic
E_form ... -0.3213 eV/atom
Uncorrected energy ... -6.778 eV/atom

abc: 7.206 7.206 7.206
angles: 90.00 90.00 90.00
Space group F-43m (No. 216)
Asymmetric unit:
Li  0.000  0.000  0.000 x4
Pr  0.250  0.250  0.250 x4
Eu  0.250  0.250  0.750 x4
Ir  0.000  0.000  0.500 x4

---

Material: LiEuScIr
Method: DFT, PBE
State: relaxed

Calculated values
Size of the total moment ... 28.34 μB per cell
Crystal system ... cubic
E_form ... -0.3596 eV/atom
Uncorrected energy ... -7.205 eV/atom

abc: 6.854 6.854 6.854
angles: 90.00 90.00 90.00
Space group F-43m (No. 216)
Asymmetric unit:
Li  0.000  0.000  0.000 x4
Eu  0.250  0.250  0.250 x4
Sc  0.250  0.250  0.750 x4
Ir  0.000  0.000  0.500 x4

---

Material: LiEuSnIr
Method: DFT, PBE
State: relaxed

Calculated values
Size of the total moment ... 27.55 μB per cell
Crystal system ... cubic
E_form ... -0.3848 eV/atom
Uncorrected energy ... -6.648 eV/atom

abc: 6.827 6.827 6.827
angles: 90.00 90.00 90.00
Space group F-43m (No. 216)
Asymmetric unit:
Li  0.000  0.000  0.000 x4
Eu  0.250  0.250  0.250 x4
Sn  0.250  0.250  0.750 x4
Ir  0.000  0.000  0.500 x4

---

Which value of uncorrected energy does entry 12 give? -6.648 eV/atom

---

Repeat the seventh record exactly.
Material: LiEu2IrO6
Method: DFT, PBE
State: relaxed

Calculated values
Size of the total moment ... 20.69 μB per cell
Crystal system ... monoclinic
Raw formation energy ... -2004 meV per atom
Uncorrected energy ... -8.112 eV/atom

abc: 5.460 5.813 9.417
angles: 90.00 124.86 90.00
Space group P2_1/c (No. 14)
Asymmetric unit:
Li  0.000  0.000  0.000 x2
Eu  0.233  0.070  0.749 x4
Ir  0.500  0.000  0.500 x2
O  0.157  0.184  0.453 x4
O  0.270  0.713  0.447 x4
O  0.352  0.031  0.256 x4